No. 1
Computed, not measured: a relaxed PrTm2Ni crystal at the GGA-PBE level of DFT.

a = 3.8130 Å, b = 3.8130 Å, c = 26.6816 Å
α = 90.00°, β = 90.00°, γ = 120.00°
Space group R3m (No. 160, hexagonal axes)
Unique sites:
Pr (0.0000, 0.0000, 0.0000) [3 per cell]
Tm (0.0000, 0.0000, 0.2258) [3 per cell]
Tm (0.0000, 0.0000, 0.4462) [3 per cell]
Ni (0.0000, 0.0000, 0.8367) [3 per cell]

Output
- calculated formation energy (kJ per mole of atoms) = -13.8
- spin magnetization (μB per atom) = 0.0000
- V (Å³ per cell) = 335.9
- E above lowest polymorph (eV per atom) = 0.070
- calculated total energy (Ha/atom) = -0.184
- density of states at the Fermi level (states/eV per atom) = 1.165

No. 2
Computed, not measured: a relaxed NaBeSi2 crystal at the GGA-PBE level of DFT.

a = 4.726 Å, b = 4.726 Å, c = 15.096 Å
α = 90.00°, β = 90.00°, γ = 90.00°
Space group I-42d (No. 122)
Unique sites:
Na (0.000, 0.000, 0.000) [4 per cell]
Be (0.000, 0.000, 0.500) [4 per cell]
Si (0.026, 0.750, 0.625) [8 per cell]

Output
- raw formation energy (kJ per mole of atoms) = 36.3
- spin magnetization (μB per atom) = 0.0000
- V (Å³ per cell) = 337.2
- calculated total energy (Ha/atom) = -0.132
- density of states at the Fermi level (states/eV per atom) = 0.389

No. 3
Computed, not measured: a relaxed BaTaMo4 crystal at the GGA-PBE level of DFT.

a = 7.752 Å, b = 7.752 Å, c = 7.752 Å
α = 90.00°, β = 90.00°, γ = 90.00°
Space group F-43m (No. 216)
Unique sites:
Ba (0.000, 0.000, 0.000) [4 per cell]
Ta (0.250, 0.250, 0.250) [4 per cell]
Mo (0.125, 0.125, 0.625) [16 per cell]

Output
- calculated formation energy (kJ per mole of atoms) = 75.4
- spin magnetization (μB per atom) = 0.0000
- V (Å³ per cell) = 465.8
- calculated total energy (Ha/atom) = -0.321
- density of states at the Fermi level (states/eV per atom) = 0.957

No. 4
Computed, not measured: a relaxed NdMg6Cd6 crystal at the GGA-PBE level of DFT.

a = 5.920 Å, b = 9.986 Å, c = 10.047 Å
α = 90.00°, β = 90.00°, γ = 90.00°
Space group Immm (No. 71)
Unique sites:
Nd (0.000, 0.000, 0.000) [2 per cell]
Mg (0.000, 0.000, 0.350) [4 per cell]
Mg (0.000, 0.351, 0.000) [4 per cell]
Mg (0.000, 0.500, 0.291) [4 per cell]
Cd (0.000, 0.286, 0.500) [4 per cell]
Cd (0.250, 0.250, 0.250) [8 per cell]

Output
- calculated formation energy (kJ per mole of atoms) = -15.4
- spin magnetization (μB per atom) = 0.0000
- V (Å³ per cell) = 593.9
- calculated total energy (Ha/atom) = -0.062
- density of states at the Fermi level (states/eV per atom) = 0.296